DFT (PBE) results for crystalline LaErAlCd at its relaxed geometry.

Results
**Formation energy**: -0.33 eV/atom
**Symmetry**: F-43m (216)
**Distance to the lowest polymorph of the same formula**: 31.7 meV/atom

a = 5.332 Å, b = 5.332 Å, c = 5.332 Å
α = 60.00°, β = 60.00°, γ = 60.00°
Sites, in units of the cell vectors:
Cd: 0.750 0.750 0.750
La: 0.000 0.000 0.000
Al: 0.250 0.250 0.250
Er: 0.500 0.500 0.500


DFT (PBE) results for crystalline LiErAlCd at its relaxed geometry.

Results
**Formation energy**: -0.24 eV/atom
**Symmetry**: F-43m (216)

a = 4.936 Å, b = 4.936 Å, c = 4.936 Å
α = 60.00°, β = 60.00°, γ = 60.00°
Sites, in units of the cell vectors:
Al: 0.250 0.250 0.250
Er: 0.500 0.500 0.500
Li: 0.000 0.000 0.000
Cd: 0.750 0.750 0.750


DFT (PBE) results for crystalline NaErAlCd at its relaxed geometry.

Results
**Formation energy**: -0.09 eV/atom
**Symmetry**: F-43m (216)

a = 5.122 Å, b = 5.122 Å, c = 5.122 Å
α = 60.00°, β = 60.00°, γ = 60.00°
Sites, in units of the cell vectors:
Al: 0.500 0.500 0.500
Na: 0.750 0.750 0.750
Cd: 0.000 0.000 0.000
Er: 0.250 0.250 0.250